[1]
Material: MgPt2Cl
Method: DFT, PBEsol
State: optimized geometry

Summary:
Excess energy over the best structure of this formula in the dataset   80 meV per atom
Formation energy from raw total energies   -0.002 eV/atom

a = 2.9280 Å, b = 4.8201 Å, c = 9.0620 Å
α = 90.00°, β = 90.00°, γ = 90.00°
Space group Imm2 (No. 44)
Inequivalent atoms, fractional coordinates:
Mg (0.0000, 0.0000, 0.0000)
Pt (0.0000, 0.0000, 0.5169)
Pt (0.0000, 0.5000, 0.7555)
Cl (0.0000, 0.5000, 0.2703)

[2]
Material: Rb2MgCl4
Method: DFT, PBEsol
State: optimized geometry

Summary:
Formation energy from raw total energies   -1.940 eV/atom

a = 4.9718 Å, b = 4.9718 Å, c = 16.0145 Å
α = 90.00°, β = 90.00°, γ = 90.00°
Space group I4/mmm (No. 139)
Inequivalent atoms, fractional coordinates:
Rb (0.0000, 0.0000, 0.1424)
Mg (0.0000, 0.0000, 0.5000)
Cl (0.0000, 0.0000, 0.3446)
Cl (0.0000, 0.5000, 0.0000)

[3]
Material: RbMgCl2
Method: DFT, PBEsol
State: optimized geometry

Summary:
Formation energy from raw total energies   -1.282 eV/atom

a = 4.3708 Å, b = 4.3708 Å, c = 25.8461 Å
α = 90.00°, β = 90.00°, γ = 120.00°
Space group R-3m (No. 166, hexagonal axes)
Inequivalent atoms, fractional coordinates:
Rb (0.0000, 0.0000, 0.0000)
Mg (0.0000, 0.0000, 0.5000)
Cl (0.0000, 0.0000, 0.4081)